[1]
A plane-wave DFT calculation with PBE was carried out for a relaxed Ac4CoBr2N crystal.

```
8
Lattice="7.240 0.000 0.000 0.000 3.990 0.000 -2.607 0.000 8.170" Properties=species:S:1:pos:R:3 pbc="T T T"
Ac 1.025 0.000 1.526
Ac -0.216 1.995 6.655
Ac 4.849 1.995 1.515
Ac 3.608 0.000 6.644
Co 3.620 0.000 0.000
Br -1.304 0.000 4.085
Br 2.317 1.995 4.085
N 0.000 1.995 0.000
```

Properties
Volume ... 29.51 A^3/atom
Space-group type ... No. 10
Total DFT energy (no corrections) ... -42.8 eV/cell
ΔE_f (raw) ... -954 meV/atom



[2]
A plane-wave DFT calculation with PBE was carried out for a relaxed Ac8Co3Br4N crystal.

```
16
Lattice="7.278 -4.118 0.000 7.278 4.118 0.000 -4.831 0.000 8.246" Properties=species:S:1:pos:R:3 pbc="T T T"
Ac 3.740 2.162 5.655
Ac 0.005 0.000 5.677
Ac 5.984 2.162 2.591
Ac 2.412 0.000 2.563
Ac 7.313 0.000 5.683
Ac 3.740 -2.162 5.655
Ac 9.720 0.000 2.569
Ac 5.984 -2.162 2.591
Co 1.223 2.059 4.123
Co 1.223 -2.059 4.123
Co 4.862 0.000 4.123
Br 0.000 0.000 0.000
Br 3.639 2.059 0.000
Br 3.639 -2.059 0.000
Br 7.278 0.000 0.000
N -2.416 0.000 4.123
```

Properties
Volume ... 30.89 A^3/atom
Space-group type ... No. 12
Total DFT energy (no corrections) ... -82.9 eV/cell
ΔE_f (raw) ... -853 meV/atom



The highest total DFT energy (no corrections) belongs to which entry?
Ac4CoBr2N